DFT (PBE-GGA) results for a relaxed structure of Pm2Zn5AgRu2.

Unit cell a=3.526 b=10.231 c=10.231 alpha=90.00 beta=90.00 gamma=90.00
Fractional positions:
1 Pm 0.000 0.681 0.181
2 Pm 0.000 0.319 0.819
3 Pm 0.000 0.181 0.319
4 Pm 0.000 0.819 0.681
5 Zn 0.500 0.198 0.053
6 Zn 0.500 0.802 0.947
7 Zn 0.500 0.053 0.802
8 Zn 0.500 0.698 0.447
9 Zn 0.500 0.947 0.198
10 Zn 0.500 0.302 0.553
11 Zn 0.500 0.553 0.698
12 Zn 0.500 0.447 0.302
13 Zn 0.500 0.500 0.000
14 Zn 0.500 0.000 0.500
15 Ag 0.000 0.000 0.000
16 Ag 0.000 0.500 0.500
17 Ru 0.000 0.129 0.629
18 Ru 0.000 0.871 0.371
19 Ru 0.000 0.629 0.871
20 Ru 0.000 0.371 0.129

Summary:
DFT formation energy, eV per formula unit: -1.5
E, eV/atom: -3.874
Crystal system: tetragonal
Total moment, μB per cell: 0.00
Fermi-level density of states, states/eV/f.u.: 5.07


DFT (PBE-GGA) results for a relaxed structure of PmAgS2.

Unit cell a=4.089 b=4.088 c=11.841 alpha=90.00 beta=90.00 gamma=90.00
Fractional positions:
1 Pm 0.500 0.000 0.141
2 Pm 0.000 0.500 0.859
3 Ag 0.500 0.500 0.500
4 Ag 0.000 0.000 0.500
5 S 0.000 0.500 0.110
6 S 0.500 0.000 0.362
7 S 0.000 0.500 0.638
8 S 0.500 0.000 0.890

Summary:
Uncorrected formation energy, eV/atom: -1.1624
E, eV/atom: -5.127
Crystal system: tetragonal
Total moment, μB per cell: 0.00
Fermi-level density of states, states/eV/f.u.: 1.57


DFT (PBE-GGA) results for a relaxed structure of PmAgS2.

Unit cell a=3.969 b=3.969 c=7.014 alpha=73.57 beta=73.57 gamma=60.00
Fractional positions:
1 Pm 0.499 0.499 0.502
2 Ag 0.670 0.670 0.989
3 S 0.080 0.080 0.759
4 S 0.250 0.250 0.250

Summary:
Uncorrected formation energy, eV/atom: -1.1527
E, eV/atom: -5.117
Crystal system: trigonal
Total moment, μB per cell: 0.00


Look up the E of the second one.
-5.127 eV/atom


Look up the E of the third one.
-5.117 eV/atom


Number 2 is which compound?
PmAgS2


Copy entry 3 word for word.
DFT (PBE-GGA) results for a relaxed structure of PmAgS2.

Unit cell a=3.969 b=3.969 c=7.014 alpha=73.57 beta=73.57 gamma=60.00
Fractional positions:
1 Pm 0.499 0.499 0.502
2 Ag 0.670 0.670 0.989
3 S 0.080 0.080 0.759
4 S 0.250 0.250 0.250

Summary:
Uncorrected formation energy, eV/atom: -1.1527
E, eV/atom: -5.117
Crystal system: trigonal
Total moment, μB per cell: 0.00